(1)
Density functional theory data (PBE-GGA) for an optimized crystal structure of KLiTbCl5.

a = 7.4625 Å, b = 7.4625 Å, c = 10.0225 Å
α = 103.68°, β = 103.68°, γ = 107.41°
Sites, in units of the cell vectors:
Cl 0.9115 0.3090 0.1127
Li 0.6894 0.3106 0.2500
Cl 0.7531 0.6258 0.4247
Cl 0.6258 0.7531 0.9247
Cl 0.3090 0.9115 0.6127
Tb 0.0000 0.0000 0.0000
Cl 0.9189 0.0811 0.7500
Tb 0.0000 0.0000 0.5000
Li 0.3106 0.6894 0.7500
Cl 0.2469 0.3742 0.5753
Cl 0.3742 0.2469 0.0753
Cl 0.6910 0.0885 0.3873
Cl 0.0885 0.6910 0.8873
Cl 0.0811 0.9189 0.2500
K 0.6530 0.3470 0.7500
K 0.3470 0.6530 0.2500

Properties
Its space group is C2/c, No. 15. The magnetic moment comes out at 0.000 Bohr magnetons per cell. The density is 2.60 g cm⁻³. As for the raw formation energy: -2.107 eV per atom.


(2)
Density functional theory data (PBE-GGA) for an optimized crystal structure of KLiTcCl6.

a = 6.5107 Å, b = 6.5107 Å, c = 13.8609 Å
α = 90.00°, β = 90.00°, γ = 120.00°
Each line ends with the local moment (μB).
Sites, in units of the cell vectors:
Cl 0.9760 0.6193 0.3491  0.05
Cl 0.3807 0.3567 0.3491  0.05
Cl 0.0240 0.6433 0.8491  0.05
Cl 0.6193 0.9760 0.8491  0.05
Cl 0.3567 0.3807 0.8491  0.05
K 0.0000 0.0000 0.0000  0.00
Tc 0.6667 0.3333 0.2500  2.31
Cl 0.3807 0.0240 0.1509  0.05
Cl 0.0240 0.3807 0.6509  0.05
Li 0.3333 0.6667 0.2500  0.01
Cl 0.3567 0.9760 0.6509  0.05
Cl 0.9760 0.3567 0.1509  0.05
K 0.0000 0.0000 0.5000  0.00
Cl 0.6433 0.0240 0.3491  0.05
Tc 0.3333 0.6667 0.7500  2.31
Cl 0.6193 0.6433 0.6509  0.05
Li 0.6667 0.3333 0.7500  0.01
Cl 0.6433 0.6193 0.1509  0.05

Properties
Its space group is P-31c, No. 163. The magnetic moment comes out at 6.000 Bohr magnetons per cell. The density is 2.33 g cm⁻³. As for the raw formation energy: -1.257 eV per atom.


(3)
Density functional theory data (PBE-GGA) for an optimized crystal structure of KLi2TcCl8.

a = 6.1690 Å, b = 6.6485 Å, c = 9.1760 Å
α = 63.04°, β = 87.36°, γ = 94.12°
Each line ends with the local moment (μB).
Sites, in units of the cell vectors:
K 0.0000 0.0000 0.5000  0.00
Li 0.5268 0.3442 0.6886  0.00
Tc 0.0000 0.0000 0.0000  1.78
Cl 0.3352 0.2158 0.9609  0.02
Li 0.4732 0.6558 0.3114  0.00
Cl 0.5313 0.7377 0.5288  -0.10
Cl 0.9134 0.2688 0.7358  0.04
Cl 0.0866 0.7312 0.2642  0.04
Cl 0.1565 0.7938 0.8843  0.04
Cl 0.8435 0.2062 0.1157  0.04
Cl 0.6648 0.7842 0.0391  0.02
Cl 0.4687 0.2623 0.4712  -0.10

Properties
Its space group is P-1, No. 2. The magnetic moment comes out at 2.011 Bohr magnetons per cell. The density is 2.17 g cm⁻³. As for the raw formation energy: -1.184 eV per atom.


(4)
Density functional theory data (PBE-GGA) for an optimized crystal structure of K2LiTeCl6.

a = 7.5442 Å, b = 7.5442 Å, c = 12.5117 Å
α = 72.45°, β = 72.45°, γ = 60.00°
Sites, in units of the cell vectors:
K 0.2957 0.2957 0.1130
K 0.1314 0.1314 0.6059
Cl 0.8881 0.3668 0.3783
Li 0.5875 0.5875 0.2376
Cl 0.3188 0.7832 0.1147
Te 0.0000 0.0000 0.0000
Cl 0.1119 0.6332 0.6217
Cl 0.3668 0.8881 0.3783
Cl 0.6812 0.2168 0.8853
Cl 0.7832 0.7832 0.1147
Cl 0.2168 0.6812 0.8853
K 0.8686 0.8686 0.3941
Te 0.5000 0.5000 0.5000
K 0.7043 0.7043 0.8870
Li 0.4125 0.4125 0.7624
Cl 0.2168 0.2168 0.8853
Cl 0.6332 0.6332 0.6217
Cl 0.7832 0.3188 0.1147
Cl 0.3668 0.3668 0.3783
Cl 0.6332 0.1119 0.6217

Properties
Its space group is R-3m, No. 166. The magnetic moment comes out at 0.001 Bohr magnetons per cell. The density is 2.44 g cm⁻³. As for the raw formation energy: -1.222 eV per atom.


(5)
Density functional theory data (PBE-GGA) for an optimized crystal structure of KLi2ThCl8.

a = 6.5560 Å, b = 5.6907 Å, c = 9.1152 Å
α = 89.86°, β = 89.91°, γ = 88.27°
Each line ends with the local moment (μB).
Sites, in units of the cell vectors:
Cl 0.1700 0.7420 0.7819  0.00
Cl 0.6638 0.7392 0.0003  0.00
Li 0.5005 0.5012 0.2332  0.00
Cl 0.1694 0.7409 0.2184  0.00
Cl 0.8300 0.2580 0.2181  0.00
Cl 0.5282 0.7421 0.4998  0.10
Li 0.4995 0.4988 0.7668  0.00
K 0.0000 0.0000 0.5000  0.00
Th 0.0000 0.0000 0.0000  0.00
Cl 0.4718 0.2579 0.5002  0.10
Cl 0.3362 0.2608 0.9997  0.00
Cl 0.8306 0.2591 0.7816  0.00

Properties
Its space group is P-1, No. 2. The magnetic moment comes out at 0.228 Bohr magnetons per cell. The density is 2.78 g cm⁻³. As for the raw formation energy: -1.757 eV per atom.


(6)
Density functional theory data (PBE-GGA) for an optimized crystal structure of KLiTiCl6.

a = 6.4996 Å, b = 6.4996 Å, c = 6.8955 Å
α = 90.00°, β = 90.00°, γ = 60.00°
Sites, in units of the cell vectors:
Li 0.6666 0.6667 0.5000
Cl 0.0242 0.6150 0.6990
Cl 0.6149 0.0242 0.3010
Cl 0.0242 0.3608 0.3010
Cl 0.3608 0.0243 0.6990
Ti 0.3333 0.3334 0.5000
Cl 0.3608 0.6149 0.3010
Cl 0.6149 0.3608 0.6990
K 0.0000 0.0000 0.0000

Properties
Its space group is P312, No. 149. The magnetic moment comes out at 0.000 Bohr magnetons per cell. The density is 2.02 g cm⁻³. As for the raw formation energy: -1.713 eV per atom.


(7)
Density functional theory data (PBE-GGA) for an optimized crystal structure of KLi2TiCl6.

a = 6.3687 Å, b = 6.3686 Å, c = 8.3220 Å
α = 67.50°, β = 67.50°, γ = 59.99°
Each line ends with the local moment (μB).
Sites, in units of the cell vectors:
K 0.8160 0.8162 0.5515  0.00
Cl 0.6930 0.0608 0.8663  -0.01
Li 0.6440 0.6439 0.0681  0.00
Li 0.9885 0.9885 0.0350  0.00
Cl 0.5717 0.2523 0.2368  -0.01
Cl 0.9393 0.5715 0.2368  -0.01
Cl 0.3799 0.6931 0.8662  -0.01
Cl 0.2524 0.9392 0.2368  -0.01
Ti 0.3161 0.3162 0.0515  0.90
Cl 0.0607 0.3800 0.8662  -0.01

Properties
Its space group is R-3, No. 148. The magnetic moment comes out at 1.000 Bohr magnetons per cell. The density is 1.99 g cm⁻³. As for the raw formation energy: -1.757 eV per atom.


(8)
Density functional theory data (PBE-GGA) for an optimized crystal structure of KLiTlCl5.

a = 7.6261 Å, b = 7.6261 Å, c = 9.1173 Å
α = 102.93°, β = 102.93°, γ = 104.06°
Each line ends with the local moment (μB).
Sites, in units of the cell vectors:
Tl 0.6728 0.3272 0.2500  0.00
Li 0.0000 0.0000 0.5000  0.00
K 0.6839 0.3161 0.7500  0.00
Cl 0.9413 0.0587 0.7500  0.06
Cl 0.3736 0.2652 0.0434  0.00
Cl 0.7348 0.6264 0.4566  0.00
Cl 0.6264 0.7348 0.9566  0.00
Cl 0.6671 0.0861 0.3935  0.00
Cl 0.3329 0.9139 0.6065  0.00
K 0.3161 0.6839 0.2500  0.00
Cl 0.0861 0.6671 0.8935  0.00
Cl 0.9139 0.3329 0.1065  0.00
Cl 0.0587 0.9413 0.2500  0.06
Li 0.0000 0.0000 0.0000  0.00
Cl 0.2652 0.3736 0.5434  0.00
Tl 0.3272 0.6728 0.7500  0.00

Properties
Its space group is C2/c, No. 15. The magnetic moment comes out at 0.182 Bohr magnetons per cell. The density is 2.96 g cm⁻³. As for the raw formation energy: -1.261 eV per atom.


(9)
Density functional theory data (PBE-GGA) for an optimized crystal structure of KLiTlCl3.

a = 4.2180 Å, b = 9.5800 Å, c = 9.4410 Å
α = 93.95°, β = 90.00°, γ = 90.00°
Sites, in units of the cell vectors:
Li 0.2500 0.0908 0.5898
Cl 0.7500 0.3801 0.1336
K 0.7500 0.8540 0.8199
Cl 0.2500 0.1098 0.8376
Tl 0.2500 0.6243 0.1837
Cl 0.7500 0.1544 0.4829
K 0.2500 0.1460 0.1801
Tl 0.7500 0.3757 0.8163
Cl 0.2500 0.6199 0.8664
Li 0.7500 0.9092 0.4102
Cl 0.2500 0.8456 0.5171
Cl 0.7500 0.8902 0.1624

Properties
Its space group is P2_1/m, No. 11. The magnetic moment comes out at 0.000 Bohr magnetons per cell. The density is 3.11 g cm⁻³. As for the raw formation energy: -1.578 eV per atom.


(10)
Density functional theory data (PBE-GGA) for an optimized crystal structure of K2LiTlCl6.

a = 7.3116 Å, b = 7.3116 Å, c = 7.3116 Å
α = 60.00°, β = 60.00°, γ = 60.00°
Sites, in units of the cell vectors:
Cl 0.7525 0.2475 0.2475
Tl 0.5000 0.5000 0.5000
Li 0.0000 0.0000 0.0000
Cl 0.2475 0.7525 0.7525
K 0.2500 0.2500 0.2500
K 0.7500 0.7500 0.7500
Cl 0.2475 0.2475 0.7525
Cl 0.2475 0.7525 0.2475
Cl 0.7525 0.2475 0.7525
Cl 0.7525 0.7525 0.2475

Properties
Its space group is Fm-3m, No. 225. The magnetic moment comes out at 0.000 Bohr magnetons per cell. The density is 3.02 g cm⁻³. As for the raw formation energy: -1.405 eV per atom.


(11)
Density functional theory data (PBE-GGA) for an optimized crystal structure of K3LiTl3Cl8.

a = 8.9722 Å, b = 8.9394 Å, c = 8.6751 Å
α = 120.55°, β = 90.00°, γ = 120.12°
Sites, in units of the cell vectors:
K 0.5000 0.0000 0.5000
Cl 0.7876 0.0024 0.7216
Cl 0.2148 0.0024 0.7216
Tl 0.0000 0.5000 0.0000
Tl 0.5000 0.5000 0.0000
Cl 0.2509 0.5018 0.2552
Li 0.0000 0.0000 0.5000
Cl 0.7848 0.5695 0.2817
Cl 0.2152 0.4305 0.7183
Cl 0.7852 0.9976 0.2784
Cl 0.2124 0.9976 0.2784
Tl 0.0000 0.0000 0.0000
K 0.5000 0.5000 0.5000
K 0.0000 0.5000 0.5000
Cl 0.7491 0.4982 0.7448

Properties
Its space group is C2/m, No. 12. The magnetic moment comes out at 0.000 Bohr magnetons per cell. The density is 3.48 g cm⁻³. As for the raw formation energy: -1.389 eV per atom.


(12)
Density functional theory data (PBE-GGA) for an optimized crystal structure of KLi2TlCl6.

a = 6.8267 Å, b = 6.8234 Å, c = 7.4186 Å
α = 62.60°, β = 62.52°, γ = 59.90°
Sites, in units of the cell vectors:
Cl 0.7406 0.1740 0.7531
Li 0.0099 0.0113 0.9687
Cl 0.1747 0.3323 0.7532
Cl 0.5945 0.2592 0.2327
Cl 0.9133 0.5940 0.2334
K 0.7990 0.7994 0.6019
Cl 0.2595 0.9133 0.2329
Cl 0.3323 0.7400 0.7531
Li 0.5165 0.5173 0.4494
Tl 0.3212 0.3207 0.0369

Properties
Its space group is P1, No. 1. The magnetic moment comes out at 0.000 Bohr magnetons per cell. The density is 3.08 g cm⁻³. As for the raw formation energy: -1.364 eV per atom.


(13)
Density functional theory data (PBE-GGA) for an optimized crystal structure of KLiTlCl6.

a = 6.5441 Å, b = 7.0720 Å, c = 7.0619 Å
α = 89.51°, β = 94.28°, γ = 60.75°
Each line ends with the local moment (μB).
Sites, in units of the cell vectors:
Cl 0.3368 0.0315 0.7325  0.00
Cl 0.5942 0.0286 0.2981  0.34
Cl 0.9963 0.6419 0.6585  0.01
Cl 0.5992 0.3959 0.7502  0.00
K 0.9835 0.9737 0.9964  0.00
Tl 0.5925 0.7087 0.5518  0.00
Cl 0.4232 0.6065 0.2730  0.00
Cl 0.1356 0.2806 0.2249  0.42
Li 0.3384 0.3327 0.5147  0.00

Properties
Its space group is P1, No. 1. The magnetic moment comes out at 0.998 Bohr magnetons per cell. The density is 2.71 g cm⁻³. As for the raw formation energy: -1.064 eV per atom.


(14)
Density functional theory data (PBE-GGA) for an optimized crystal structure of K3LiTl4Cl8.

a = 8.8626 Å, b = 8.9647 Å, c = 8.9303 Å
α = 119.53°, β = 119.75°, γ = 90.00°
Sites, in units of the cell vectors:
Li 0.0000 0.5000 0.0000
K 0.0000 0.5000 0.5000
K 0.5000 0.5000 0.5000
Cl 0.7739 0.7153 0.9940
Cl 0.7467 0.7393 0.4933
Cl 0.7488 0.2559 0.4976
K 0.5000 0.5000 0.0000
Tl 0.5000 0.0000 0.0000
Cl 0.2533 0.2606 0.5067
Cl 0.2261 0.2847 0.0060
Tl 0.5000 0.0000 0.5000
Cl 0.2201 0.7153 0.9940
Cl 0.7799 0.2847 0.0060
Tl 0.0000 0.0000 0.5000
Tl 0.0000 0.0000 0.0000
Cl 0.2512 0.7441 0.5024

Properties
Its space group is C2/m, No. 12. The magnetic moment comes out at 0.000 Bohr magnetons per cell. The density is 4.01 g cm⁻³. As for the raw formation energy: -1.429 eV per atom.


(15)
Density functional theory data (PBE-GGA) for an optimized crystal structure of KLiTmCl5.

a = 7.4127 Å, b = 7.4127 Å, c = 9.8990 Å
α = 103.69°, β = 103.69°, γ = 107.42°
Sites, in units of the cell vectors:
Cl 0.0766 0.9234 0.2500
Cl 0.6303 0.7563 0.9242
Li 0.6899 0.3101 0.2500
Cl 0.2437 0.3697 0.5758
Cl 0.3697 0.2437 0.0758
Cl 0.3044 0.9090 0.6078
Li 0.3101 0.6899 0.7500
Tm 0.0000 0.0000 0.0000
Tm 0.0000 0.0000 0.5000
K 0.3447 0.6553 0.2500
Cl 0.6956 0.0910 0.3922
Cl 0.9234 0.0766 0.7500
Cl 0.7563 0.6303 0.4242
Cl 0.9090 0.3044 0.1078
Cl 0.0910 0.6956 0.8922
K 0.6553 0.3447 0.7500

Properties
Its space group is C2/c, No. 15. The magnetic moment comes out at 0.000 Bohr magnetons per cell. The density is 2.74 g cm⁻³. As for the raw formation energy: -2.108 eV per atom.


(16)
Density functional theory data (PBE-GGA) for an optimized crystal structure of K2LiTmCl6.

a = 7.2912 Å, b = 7.2912 Å, c = 7.2912 Å
α = 60.00°, β = 60.00°, γ = 60.00°
Sites, in units of the cell vectors:
K 0.7500 0.7500 0.7500
Tm 0.0000 0.0000 0.0000
Li 0.5000 0.5000 0.5000
Cl 0.7488 0.2512 0.2512
Cl 0.2512 0.2512 0.7488
Cl 0.7488 0.7488 0.2512
K 0.2500 0.2500 0.2500
Cl 0.7488 0.2512 0.7488
Cl 0.2512 0.7488 0.7488
Cl 0.2512 0.7488 0.2512

Properties
Its space group is Fm-3m, No. 225. The magnetic moment comes out at 0.000 Bohr magnetons per cell. The density is 2.83 g cm⁻³. As for the raw formation energy: -2.075 eV per atom.


(17)
Density functional theory data (PBE-GGA) for an optimized crystal structure of KLi2TmCl6.

a = 6.5533 Å, b = 6.5536 Å, c = 8.4518 Å
α = 67.19°, β = 67.18°, γ = 60.00°
Sites, in units of the cell vectors:
Li 0.9893 0.9893 0.0326
Cl 0.5868 0.2505 0.2416
Cl 0.0455 0.3818 0.8614
K 0.8161 0.8162 0.5516
Cl 0.7114 0.0455 0.8615
Tm 0.3162 0.3162 0.0515
Li 0.6431 0.6430 0.0705
Cl 0.2505 0.9211 0.2415
Cl 0.3818 0.7113 0.8615
Cl 0.9210 0.5868 0.2415

Properties
Its space group is R-3, No. 148. The magnetic moment comes out at 0.000 Bohr magnetons per cell. The density is 2.57 g cm⁻³. As for the raw formation energy: -2.055 eV per atom.


(18)
Density functional theory data (PBE-GGA) for an optimized crystal structure of KLiTm2Cl8.

a = 6.6576 Å, b = 6.6455 Å, c = 8.1372 Å
α = 89.99°, β = 89.99°, γ = 83.19°
Sites, in units of the cell vectors:
Cl 0.3217 0.3198 0.0000
Cl 0.3320 0.3301 0.5001
Cl 0.7903 0.2115 0.7830
Cl 0.7901 0.2114 0.2170
Tm 0.5000 0.5000 0.2421
Tm 0.5000 0.5000 0.7579
Cl 0.2099 0.7886 0.7830
Li 0.0000 0.0000 0.0000
Cl 0.2097 0.7885 0.2170
K 0.0000 0.0000 0.5000
Cl 0.6783 0.6802 0.0000
Cl 0.6680 0.6699 0.4999

Properties
Its space group is P2/m, No. 10. The magnetic moment comes out at 0.000 Bohr magnetons per cell. The density is 3.10 g cm⁻³. As for the raw formation energy: -2.122 eV per atom.


(19)
Density functional theory data (PBE-GGA) for an optimized crystal structure of KLi2UCl6.

a = 7.9829 Å, b = 9.4407 Å, c = 9.4407 Å
α = 82.55°, β = 71.50°, γ = 71.50°
Each line ends with the local moment (μB).
Sites, in units of the cell vectors:
K 0.2500 0.9062 0.0938  0.00
Li 0.8605 0.6302 0.7717  0.00
Cl 0.6946 0.7727 0.9939  -0.01
Cl 0.1946 0.9939 0.7727  -0.01
U 0.7500 0.7222 0.2778  2.91
Li 0.3605 0.7717 0.6302  0.00
Cl 0.3054 0.2273 0.0061  -0.01
Cl 0.8058 0.4148 0.2834  -0.01
Cl 0.1274 0.6227 0.1758  -0.01
Cl 0.3058 0.2834 0.4148  -0.01
Cl 0.8054 0.0061 0.2273  -0.01
U 0.2500 0.2778 0.7222  2.91
Cl 0.3726 0.8242 0.3773  -0.01
Cl 0.8726 0.3773 0.8242  -0.01
K 0.7500 0.0938 0.9062  0.00
Li 0.1395 0.3698 0.2283  0.00
Li 0.6395 0.2283 0.3698  0.00
Cl 0.1942 0.5852 0.7166  -0.01
Cl 0.6274 0.1758 0.6227  -0.01
Cl 0.6942 0.7166 0.5852  -0.01

Properties
Its space group is C2/c, No. 15. The magnetic moment comes out at 6.000 Bohr magnetons per cell. The density is 2.62 g cm⁻³. As for the raw formation energy: -1.777 eV per atom.